[1]
{"formula": "SrAlV3", "functional": "PBE", "state": "optimized geometry", "lattice": [[-3.438, 0.231, 2.999], [1.744, -3.557, 2.274], [2.450, 2.857, 2.589]], "species": ["Sr", "Al", "V", "V", "V"], "fractional_positions": [[0.000, 0.000, 0.000], [0.500, 0.500, 0.500], [0.000, 0.500, 0.000], [0.000, 0.000, 0.500], [0.500, 0.000, 0.000]], "magnetic_moment_mub_per_cell": 0.0, "dos_ef_per_ev_atom": 1.48, "dft_energy_ev_per_atom": -4.240, "spacegroup": "Pm-3m, No. 221"}

***

[2]
{"formula": "ZrNb2SbW", "functional": "PBE", "state": "optimized geometry", "lattice": [[-2.371, -2.078, 3.706], [3.602, -3.684, 0.239], [2.551, 2.698, 3.145]], "species": ["Sb", "Nb", "Nb", "Zr", "W"], "fractional_positions": [[0.500, 0.500, 0.500], [0.000, 0.000, 0.500], [0.500, 0.000, 0.000], [0.000, 0.500, 0.000], [0.000, 0.000, 0.000]], "magnetic_moment_mub_per_cell": 0.0, "dos_ef_per_ev_atom": 0.86, "spacegroup": "P4/mmm, No. 123", "raw_formation_energy_ev_per_fu": 4.7}